Entry 1:
{
  "formula": "AlSi2Ag",
  "functional": "PBE",
  "state": "optimized geometry",
  "space_group": "P2/m, No. 10",
  "raw_formation_energy_ev_per_atom": 0.300,
  "crystal_system": "monoclinic",
  "e_tot_ev_per_cell": -16.2,
  "lattice_angstrom": [[4.8249, 0.0000, 0.0000], [0.0000, 2.8514, 0.0000], [-1.6623, 0.0000, 4.7139]],
  "species": ["Al", "Si", "Si", "Ag"],
  "frac_coords": [[0.0000, 0.0000, 0.0000], [0.0000, 0.5000, 0.5000], [0.5000, 0.0000, 0.5000], [0.5000, 0.5000, 0.0000]]
}

***

Entry 2:
{
  "formula": "Al2SiAg4",
  "functional": "PBE",
  "state": "optimized geometry",
  "space_group": "I4/mmm, No. 139",
  "raw_formation_energy_ev_per_atom": 0.415,
  "crystal_system": "tetragonal",
  "e_tot_ev_per_cell": -21.4,
  "lattice_angstrom": [[-2.4545, 2.4545, 6.4634], [2.4545, -2.4545, 6.4634], [2.4545, 2.4545, -6.4634]],
  "species": ["Al", "Al", "Si", "Ag", "Ag", "Ag", "Ag"],
  "frac_coords": [[0.1120, 0.1120, 0.0000], [0.8880, 0.8880, 0.0000], [0.5000, 0.5000, 0.0000], [0.0000, 0.5000, 0.5000], [0.3061, 0.3061, 0.0000], [0.5000, 0.0000, 0.5000], [0.6939, 0.6939, 0.0000]]
}

***

Entry 3:
{
  "formula": "AlSiAg",
  "functional": "PBE",
  "state": "optimized geometry",
  "space_group": "P1, No. 1",
  "raw_formation_energy_ev_per_atom": 0.162,
  "crystal_system": "triclinic",
  "e_tot_ev_per_cell": -23.1,
  "lattice_angstrom": [[3.0186, 0.0000, 0.0000], [0.2963, 5.2287, 0.0000], [0.2721, 0.0873, 6.3336]],
  "species": ["Al", "Al", "Si", "Si", "Ag", "Ag"],
  "frac_coords": [[0.0000, 0.0000, 0.0000], [0.1040, 0.6629, 0.3327], [0.4500, 0.1513, 0.3123], [0.6551, 0.5109, 0.0205], [0.0500, 0.3307, 0.6658], [0.5515, 0.8308, 0.6666]]
}

***

Entry 4:
{
  "formula": "AlSiAg2",
  "functional": "PBE",
  "state": "optimized geometry",
  "space_group": "C2/m, No. 12",
  "raw_formation_energy_ev_per_atom": 0.202,
  "crystal_system": "monoclinic",
  "e_tot_ev_per_cell": -14.1,
  "lattice_angstrom": [[2.8247, -4.8334, 0.0000], [2.8247, 4.8334, 0.0000], [-1.3165, 0.0000, 2.5138]],
  "species": ["Al", "Si", "Ag", "Ag"],
  "frac_coords": [[0.0000, 0.0000, 0.0000], [0.5000, 0.5000, 0.0000], [0.0000, 0.5000, 0.0000], [0.5000, 0.0000, 0.0000]]
}

***

Entry 5:
{
  "formula": "AlSiAg",
  "functional": "PBE",
  "state": "optimized geometry",
  "space_group": "P-1, No. 2",
  "raw_formation_energy_ev_per_atom": 0.131,
  "crystal_system": "triclinic",
  "e_tot_ev_per_cell": -23.2,
  "lattice_angstrom": [[2.9014, 0.0000, 0.0000], [1.4474, 5.4611, 0.0000], [1.4480, 0.3946, 6.4927]],
  "species": ["Al", "Al", "Si", "Si", "Ag", "Ag"],
  "frac_coords": [[0.1987, 0.3526, 0.2516], [0.8013, 0.6474, 0.7484], [0.0768, 0.7900, 0.0543], [0.9232, 0.2100, 0.9457], [0.4010, 0.7871, 0.4108], [0.5990, 0.2129, 0.5892]]
}

***

Entry 6:
{
  "formula": "Al2SiAg",
  "functional": "PBE",
  "state": "optimized geometry",
  "space_group": "P4mm, No. 99",
  "raw_formation_energy_ev_per_atom": 0.133,
  "crystal_system": "tetragonal",
  "e_tot_ev_per_cell": -15.2,
  "lattice_angstrom": [[2.9118, 0.0000, 0.0000], [0.0000, 2.9118, 0.0000], [0.0000, 0.0000, 7.7568]],
  "species": ["Al", "Al", "Si", "Ag"],
  "frac_coords": [[0.0000, 0.0000, 0.0000], [0.5000, 0.5000, 0.2514], [0.0000, 0.0000, 0.4843], [0.5000, 0.5000, 0.7446]]
}

***

Entry 7:
{
  "formula": "AlSiAg",
  "functional": "PBE",
  "state": "optimized geometry",
  "space_group": "P1, No. 1",
  "raw_formation_energy_ev_per_atom": 0.181,
  "crystal_system": "triclinic",
  "e_tot_ev_per_cell": -22.9,
  "lattice_angstrom": [[3.3892, 0.0000, 0.0000], [0.0146, 5.3821, 0.0000], [1.6540, 0.0040, 5.6374]],
  "species": ["Al", "Al", "Si", "Si", "Ag", "Ag"],
  "frac_coords": [[0.0000, 0.0000, 0.0000], [0.3331, 0.7262, 0.3335], [0.0088, 0.5129, 0.9867], [0.6638, 0.4885, 0.6673], [0.3475, 0.2414, 0.3006], [0.6843, 0.9883, 0.6309]]
}

***

Entry 8:
{
  "formula": "AlSiAg",
  "functional": "PBE",
  "state": "optimized geometry",
  "space_group": "P1, No. 1",
  "raw_formation_energy_ev_per_atom": 0.152,
  "crystal_system": "triclinic",
  "e_tot_ev_per_cell": -23.1,
  "lattice_angstrom": [[2.7990, 0.0000, 0.0000], [-1.3861, 5.9966, 0.0000], [-0.0298, -0.9580, 6.2764]],
  "species": ["Al", "Al", "Si", "Si", "Ag", "Ag"],
  "frac_coords": [[0.0000, 0.0000, 0.0000], [0.1266, 0.2558, 0.5620], [0.6592, 0.3206, 0.2242], [0.8619, 0.7317, 0.2755], [0.4329, 0.8677, 0.6274], [0.7664, 0.5293, 0.8564]]
}